#one
Computed, not measured: TbPm6Pr4 after structural relaxation at the PBE level of DFT.

Lattice parameters (Å, degrees): 9.778 9.778 9.778 59.07 139.20 139.20
Fractional coordinates of all 11 atoms:
Pr (0.000, 0.013, 0.633)
Pr (0.000, 0.633, 0.013)
Tb (0.000, 0.000, 0.000)
Pm (0.651, 0.205, 0.205)
Pr (0.620, 0.987, 0.987)
Pm (0.349, 0.554, 0.554)
Pm (0.000, 0.446, 0.795)
Pm (0.500, 0.000, 0.500)
Pm (0.500, 0.500, 0.000)
Pr (0.380, 0.367, 0.367)
Pm (0.000, 0.795, 0.446)

Results
Total magnetization (μB/f.u.): 0.00
ρ (g cm⁻³): 6.7

***

#two
Computed, not measured: TbPm6Pr4 after structural relaxation at the PBE level of DFT.

Lattice parameters (Å, degrees): 7.663 7.663 8.741 116.00 116.00 90.00
Fractional coordinates of all 11 atoms:
Pr (0.256, 0.256, 0.163)
Pm (0.538, 0.538, 0.628)
Pr (0.907, 0.907, 0.163)
Pm (0.090, 0.090, 0.628)
Pr (0.093, 0.744, 0.837)
Pr (0.744, 0.093, 0.837)
Tb (0.500, 0.500, 0.000)
Pm (0.500, 0.000, 0.000)
Pm (0.462, 0.910, 0.372)
Pm (0.000, 0.500, 0.000)
Pm (0.910, 0.462, 0.372)

Results
Total magnetization (μB/f.u.): 0.00
ρ (g cm⁻³): 6.6

***

Name the least stable of them. #two.